--- w ---
{"formula": "SrNb3Hg", "functional": "PBE-GGA", "state": "relaxed", "total_magnetization_mub_per_fu": 0.0, "cell": [[-0.294, -2.769, -4.022], [1.078, -3.966, 2.652], [-4.762, -0.726, 0.849]], "species": ["Sr", "Nb", "Nb", "Nb", "Hg"], "fractional_positions": [[0.000, 0.000, 0.000], [0.000, 0.500, 0.000], [0.000, 0.000, 0.500], [0.500, 0.000, 0.000], [0.500, 0.500, 0.500]]}

--- x ---
{"formula": "SrNb3Hg", "functional": "PBE-GGA", "state": "relaxed", "total_magnetization_mub_per_fu": 1.5, "cell": [[-1.590, 3.071, -3.911], [-1.579, -4.205, -2.660], [-4.715, 0.373, 2.210]], "species": ["Sr", "Nb", "Nb", "Nb", "Hg"], "fractional_positions": [[0.500, 0.500, 0.500], [0.000, 0.500, 0.000], [0.000, 0.000, 0.500], [0.500, 0.000, 0.000], [0.000, 0.000, 0.000]]}

Which is the most stable structure? x is the most stable.